DFT (PBE) results for crystalline Zn5Cu2Ru at its relaxed geometry.

## Properties
The value obtained for the electronic total energy is -24.7 eV per cell. Its space group is I4/mmm, No. 139. The size of the total moment comes out at 0.0 μB/cell. The calculated volume comes out at 108.2 Å³ per cell.

Cell: 3.811 3.811 7.920 Å, 103.90 103.92 90.00°
Fractional coordinates of all 8 atoms:
Zn1 0.371 0.872 0.743
Cu1 0.746 0.745 0.491
Zn2 0.000 0.000 0.000
Zn3 0.871 0.372 0.743
Zn4 0.629 0.128 0.257
Ru1 0.500 0.500 0.000
Cu2 0.254 0.255 0.509
Zn5 0.129 0.628 0.257



DFT (PBE) results for crystalline OsAu2Cl at its relaxed geometry.

## Properties
Its space group is I4/mmm, No. 139. The size of the total moment comes out at 2.7 μB/cell. For the energy relative to the elements, uncorrected, the calculation gives 1.1555 eV/atom. The calculated volume comes out at 72.9 Å³ per cell.

Cell: 4.935 4.935 4.935 Å, 127.76 127.76 77.01°
Site moments in Bohr magnetons follow the coordinates.
Fractional coordinates of all 4 atoms:
Cl1 0.250 0.750 0.500  0.08
Au1 0.500 0.500 0.000  0.10
Os1 0.750 0.250 0.500  2.24
Au2 0.000 0.000 0.000  0.10



DFT (PBE) results for crystalline Y2Cd2Ge at its relaxed geometry.

## Properties
The value obtained for the electronic total energy is -40.4 eV per cell. Its space group is P4/mbm, No. 127. The size of the total moment comes out at 0.0 μB/cell. The calculated volume comes out at 276.1 Å³ per cell.

Cell: 7.651 7.651 4.717 Å, 90.00 90.00 90.00°
Fractional coordinates of all 10 atoms:
Cd1 0.143 0.643 0.500
Y1 0.839 0.661 0.000
Cd2 0.857 0.357 0.500
Y2 0.161 0.339 0.000
Cd3 0.643 0.857 0.500
Ge1 0.500 0.500 0.000
Y3 0.661 0.161 0.000
Ge2 0.000 0.000 0.000
Y4 0.339 0.839 0.000
Cd4 0.357 0.143 0.500



DFT (PBE) results for crystalline Pm2Pr5YHo at its relaxed geometry.

## Properties
The value obtained for the electronic total energy is -83.9 eV per cell. Its space group is I4/mcm, No. 140. The size of the total moment comes out at 0.0 μB/cell. The calculated volume comes out at 637.1 Å³ per cell.

Cell: 8.704 8.704 10.421 Å, 114.68 114.68 90.00°
Fractional coordinates of all 18 atoms:
Pm1 0.621 0.121 0.000
Pm2 0.121 0.379 0.000
Y1 0.250 0.250 0.500
Pr1 0.858 0.927 0.285
Pm3 0.379 0.879 0.000
Pm4 0.879 0.621 0.000
Ho1 0.250 0.750 0.500
Pr2 0.073 0.573 0.715
Pr3 0.642 0.142 0.715
Pr4 0.000 0.000 0.000
Pr5 0.142 0.073 0.715
Pr6 0.427 0.358 0.285
Pr7 0.500 0.500 0.000
Y2 0.750 0.750 0.500
Pr8 0.358 0.858 0.285
Pr9 0.927 0.427 0.285
Pr10 0.573 0.642 0.715
Ho2 0.750 0.250 0.500



DFT (PBE) results for crystalline Np2Co5SiB2 at its relaxed geometry.

## Properties
Its space group is P4/mbm, No. 127. The size of the total moment comes out at 16.2 μB/cell. For the energy relative to the elements, uncorrected, the calculation gives -0.2206 eV/atom. The calculated volume comes out at 237.5 Å³ per cell.

Cell: 2.767 9.265 9.265 Å, 90.00 90.00 90.00°
Site moments in Bohr magnetons follow the coordinates.
Fractional coordinates of all 20 atoms:
Co1 0.500 0.000 0.500  0.35
Co2 0.500 0.218 0.063  0.35
Si1 0.000 0.500 0.500  -0.01
Co3 0.500 0.937 0.218  0.35
Co4 0.500 0.563 0.718  0.35
B1 0.000 0.619 0.881  -0.02
Co5 0.500 0.282 0.563  0.35
B2 0.000 0.119 0.619  -0.02
Np1 0.000 0.320 0.820  3.20
Co6 0.500 0.782 0.937  0.35
Np2 0.000 0.820 0.680  3.20
Co7 0.500 0.500 0.000  0.35
B3 0.000 0.381 0.119  -0.02
Co8 0.500 0.718 0.437  0.35
Si2 0.000 0.000 0.000  -0.01
Co9 0.500 0.063 0.782  0.35
Co10 0.500 0.437 0.282  0.35
Np3 0.000 0.680 0.180  3.20
B4 0.000 0.881 0.381  -0.02
Np4 0.000 0.180 0.320  3.20



DFT (PBE) results for crystalline LaHoCo2 at its relaxed geometry.

## Properties
The value obtained for the electronic total energy is -23.9 eV per cell. Its space group is P4/mmm, No. 123. The size of the total moment comes out at 0.9 μB/cell. The calculated volume comes out at 79.8 Å³ per cell.

Cell: 3.414 3.414 6.845 Å, 90.00 90.00 90.00°
Site moments in Bohr magnetons follow the coordinates.
Fractional coordinates of all 4 atoms:
La1 0.500 0.500 0.500  -0.15
Ho1 0.500 0.500 0.000  -0.24
Co1 0.000 0.000 0.765  0.75
Co2 0.000 0.000 0.235  0.75



DFT (PBE) results for crystalline Pa3Al2Ni4 at its relaxed geometry.

## Properties
The value obtained for the electronic total energy is -63.1 eV per cell. Its space group is C2/m, No. 12. The size of the total moment comes out at 0.0 μB/cell. The calculated volume comes out at 156.8 Å³ per cell.

Cell: 4.166 5.779 7.919 Å, 116.10 90.00 111.13°
Fractional coordinates of all 9 atoms:
Pa1 0.624 0.248 0.692
Al1 0.674 0.348 0.344
Pa2 0.000 0.000 0.000
Ni1 0.072 0.144 0.398
Pa3 0.376 0.752 0.308
Ni2 0.283 0.567 0.932
Al2 0.326 0.652 0.656
Ni3 0.717 0.433 0.068
Ni4 0.928 0.856 0.602



DFT (PBE) results for crystalline PmTaNbN3 at its relaxed geometry.

## Properties
Its space group is P2_1/m, No. 11. The size of the total moment comes out at 0.0 μB/cell. For the energy relative to the elements, uncorrected, the calculation gives -1.2467 eV/atom. The calculated volume comes out at 149.6 Å³ per cell.

Cell: 3.205 5.665 8.451 Å, 102.88 90.00 90.00°
Fractional coordinates of all 12 atoms:
N1 0.250 0.745 0.491
Nb1 0.250 0.119 0.637
N2 0.750 0.255 0.509
Ta1 0.750 0.233 0.950
N3 0.750 0.033 0.143
N4 0.750 0.561 0.144
N5 0.250 0.439 0.856
Nb2 0.750 0.881 0.363
Ta2 0.250 0.767 0.050
Pm1 0.250 0.357 0.308
N6 0.250 0.967 0.857
Pm2 0.750 0.643 0.692